## i
A geometry-optimized SmTlCd2 structure. Source: Alexandria, functional PBE.

Cell lengths 5.1713, 5.1713, 5.9354 Å; angles 90.00, 90.00, 120.00 degrees
Closest atoms and distances in Å follow each position.
Space group P-6m2 (No. 187)
Asymmetric unit:
Sm (0.0000, 0.0000, 0.0000) (multiplicity 1)  2 Cd 2.97
Tl (0.6667, 0.3333, 0.5000) (multiplicity 1)  6 Cd 2.99
Cd (0.0000, 0.0000, 0.5000) (multiplicity 1)  2 Sm 2.97, 3 Cd 2.99, 3 Tl 2.99
Cd (0.3333, 0.6667, 0.5000) (multiplicity 1)  3 Cd 2.99, 3 Tl 2.99

---

## ii
A geometry-optimized SmTlCd2 structure. Source: Alexandria, functional PBE.

Cell lengths 3.9258, 3.9258, 6.9689 Å; angles 90.00, 90.00, 90.00 degrees
Closest atoms and distances in Å follow each position.
Space group P4/mmm (No. 123)
Asymmetric unit:
Sm (0.0000, 0.0000, 0.0000) (multiplicity 1)  8 Cd 3.29, 2 Tl 3.48
Tl (0.0000, 0.0000, 0.5000) (multiplicity 1)  8 Cd 3.26, 2 Sm 3.48
Cd (0.5000, 0.5000, 0.2543) (multiplicity 2)  4 Tl 3.26, 4 Sm 3.29, 2 Cd 3.42-3.54

---

## iii
A geometry-optimized SmTlCd2 structure. Source: Alexandria, functional PBE.

Cell lengths 4.9038, 11.3088, 7.4089 Å; angles 90.00, 90.00, 90.00 degrees
Closest atoms and distances in Å follow each position.
Space group Cmcm (No. 63)
Asymmetric unit:
Sm (0.0000, 0.0914, 0.2500) (multiplicity 4)  3 Tl 3.30-3.40, 6 Cd 3.32-3.60
Tl (0.0000, 0.2008, 0.7500) (multiplicity 4)  6 Cd 3.01-3.02, 1 Sm 3.30
Cd (0.0000, 0.3811, 0.0499) (multiplicity 8)  2 Cd 2.79-2.96, 3 Tl 3.01-3.02

---

## iv
A geometry-optimized SmTlCd2 structure. Source: Alexandria, functional PBE.

Cell lengths 7.4508, 7.4508, 7.4508 Å; angles 90.00, 90.00, 90.00 degrees
Closest atoms and distances in Å follow each position.
Space group Fm-3m (No. 225)
Asymmetric unit:
Sm (0.0000, 0.0000, 0.0000) (multiplicity 4)  8 Cd 3.23
Tl (0.0000, 0.0000, 0.5000) (multiplicity 4)  8 Cd 3.23
Cd (0.2500, 0.2500, 0.2500) (multiplicity 8)  4 Tl 3.23, 4 Sm 3.23

---

Ranked by calculated energy, most stable first: iii, iv, ii, i.

---

## i
A geometry-optimized Sm4Tl5Cd structure. Source: Alexandria, functional PBE.

Cell lengths 7.8871, 10.4789, 7.5454 Å; angles 90.00, 90.00, 90.00 degrees
Closest atoms and distances in Å follow each position.
Space group Pmmn (No. 59, origin choice 2)
Asymmetric unit:
Sm (0.0085, 0.2500, 0.2057) (multiplicity 4)  3 Tl 3.12-3.27, 1 Cd 3.25
Sm (0.2500, 0.5601, 0.4674) (multiplicity 4)  5 Tl 3.25-3.37, 1 Cd 3.31
Tl (0.0577, 0.0577, 0.8188) (multiplicity 8)  3 Tl 3.03-3.20, 1 Cd 3.22, 3 Sm 3.25-3.29
Tl (0.2500, 0.7500, 0.1074) (multiplicity 2)  4 Sm 3.12-3.37, 4 Tl 3.20
Cd (0.2500, 0.2500, 0.5539) (multiplicity 2)  4 Tl 3.22, 4 Sm 3.25-3.31

---

## ii
A geometry-optimized Sm4Tl5Cd structure. Source: Alexandria, functional PBE.

Cell lengths 17.9442, 5.1384, 6.5768 Å; angles 90.00, 110.30, 90.00 degrees
Closest atoms and distances in Å follow each position.
Space group C2/m (No. 12)
Asymmetric unit:
Sm (0.0882, 0.0000, 0.3550) (multiplicity 4)  7 Tl 3.22-3.38, 2 Cd 3.46
Sm (0.1990, 0.5000, 0.1123) (multiplicity 4)  7 Tl 3.21-3.51, 1 Cd 3.39
Tl (0.0000, 0.5000, 0.5000) (multiplicity 2)  2 Cd 3.29, 4 Sm 3.33, 6 Tl 3.50-3.56
Tl (0.1027, 0.0000, 0.8655) (multiplicity 4)  6 Sm 3.21-3.51, 2 Cd 3.45, 2 Tl 3.56
Tl (0.2053, 0.5000, 0.6127) (multiplicity 4)  7 Sm 3.25-3.64, 3 Tl 3.50-3.61
Cd (0.0000, 0.5000, 0.0000) (multiplicity 2)  6 Tl 3.29-3.45, 6 Sm 3.39-3.46

---

Ranked by calculated energy, most stable first: ii, i.